1.
Nd6Al5Zn GGA-PBE optimized geometry; energy of formation = -33.5 kJ/mol of atoms; calculated volume = 25.87 Å³ per atom; E_tot = -4.40 eV per atom; space group = P2/m; Fermi-level density of states = 0.546 states/eV/atom
1.0
4.998 -0.029 1.676
0.040 7.450 0.013
0.014 -0.015 8.341
Al Nd Zn
5 6 1
Direct
0.667 0.000 0.667
0.000 0.500 0.000
0.333 0.500 0.334
0.333 0.000 0.333
0.667 0.500 0.666
0.500 0.246 0.000
0.835 0.248 0.331
0.500 0.754 0.000
0.165 0.248 0.669
0.165 0.752 0.669
0.835 0.752 0.331
0.000 0.000 0.000


2.
NdAl4Zn4 GGA-PBE optimized geometry; energy of formation = -4.6 kJ/mol of atoms; calculated volume = 18.82 Å³ per atom; E_tot = -2.81 eV per atom; space group = I4/m; Fermi-level density of states = 0.387 states/eV/atom
1.0
-1.919 -4.558 -0.171
4.775 -1.766 -6.523
5.947 -2.695 5.083
Al Zn Nd
8 8 2
Direct
0.500 0.577 0.134
0.000 0.077 0.634
0.500 0.866 0.577
0.500 0.423 0.866
0.000 0.366 0.077
0.000 0.923 0.366
0.500 0.134 0.423
0.000 0.634 0.923
0.000 0.376 0.731
0.000 0.624 0.269
0.000 0.269 0.376
0.500 0.231 0.124
0.000 0.731 0.624
0.500 0.876 0.231
0.500 0.769 0.876
0.500 0.124 0.769
0.500 0.500 0.500
0.000 0.000 0.000


3.
NdAlZn2 GGA-PBE optimized geometry; energy of formation = -35.8 kJ/mol of atoms; calculated volume = 20.06 Å³ per atom; E_tot = -3.14 eV per atom; space group = Amm2; Fermi-level density of states = 0.243 states/eV/atom
1.0
-2.969 -0.509 3.454
5.188 -2.104 1.109
1.875 5.933 2.485
Nd Zn Al
2 4 2
Direct
0.767 0.533 0.500
0.569 0.137 0.000
0.866 0.731 0.000
0.046 0.091 0.309
0.046 0.091 0.691
0.467 0.934 0.500
0.285 0.570 0.195
0.285 0.570 0.805


4.
Nd3Al4Zn4 GGA-PBE optimized geometry; energy of formation = -26.1 kJ/mol of atoms; calculated volume = 21.68 Å³ per atom; E_tot = -3.40 eV per atom; space group = I-43m; Fermi-level density of states = 0.319 states/eV/atom
1.0
-3.776 -4.728 -3.029
6.544 -1.220 -1.214
-1.122 -0.150 6.671
Al Zn Nd
4 4 3
Direct
0.000 0.260 0.000
0.260 0.000 0.000
0.740 0.740 0.740
0.000 0.000 0.260
0.000 0.620 0.000
0.000 0.000 0.620
0.380 0.380 0.380
0.620 0.000 0.000
0.500 0.500 0.000
0.000 0.500 0.500
0.500 0.000 0.500


5.
Nd3Al2Zn GGA-PBE optimized geometry; energy of formation = -32.4 kJ/mol of atoms; calculated volume = 25.69 Å³ per atom; E_tot = -4.18 eV per atom; space group = P4/mmm; Fermi-level density of states = 0.743 states/eV/atom
1.0
-2.915 0.015 -2.247
2.236 -0.339 -2.904
-0.675 -11.326 0.802
Al Nd Zn
2 3 1
Direct
0.500 0.500 0.171
0.500 0.500 0.829
0.000 0.000 0.662
0.000 0.000 0.000
0.000 0.000 0.338
0.500 0.500 0.500


6.
Nd2AlZn6 GGA-PBE optimized geometry; energy of formation = -30.9 kJ/mol of atoms; calculated volume = 19.31 Å³ per atom; E_tot = -2.64 eV per atom; space group = P-3m1; Fermi-level density of states = 0.693 states/eV/atom; distance to the lowest polymorph of the same formula = 0.000 eV/atom
1.0
5.864 -0.001 0.002
0.002 5.067 -2.922
-0.001 -0.002 5.851
Zn Nd Al
6 2 1
Direct
0.659 0.644 0.822
0.659 0.178 0.356
0.659 0.178 0.822
0.341 0.822 0.178
0.341 0.356 0.178
0.341 0.822 0.644
0.153 0.333 0.667
0.847 0.667 0.333
0.000 0.000 0.000


7.
Nd2Al3Zn5 GGA-PBE optimized geometry; energy of formation = -37.7 kJ/mol of atoms; calculated volume = 19.44 Å³ per atom; E_tot = -3.10 eV per atom; space group = Ibam; Fermi-level density of states = 0.371 states/eV/atom; distance to the lowest polymorph of the same formula = 0.000 eV/atom
1.0
-5.731 1.334 -1.333
-5.381 -4.482 4.996
-3.053 5.943 5.419
Zn Al Nd
10 6 4
Direct
0.250 0.500 0.500
0.624 0.737 0.015
0.009 0.241 0.241
0.991 0.759 0.759
0.509 0.241 0.241
0.876 0.985 0.263
0.376 0.263 0.985
0.124 0.015 0.737
0.750 0.500 0.500
0.491 0.759 0.759
0.129 0.241 0.501
0.250 0.000 0.000
0.750 0.000 0.000
0.629 0.501 0.241
0.371 0.499 0.759
0.871 0.759 0.499
0.625 0.129 0.621
0.875 0.379 0.871
0.125 0.621 0.129
0.375 0.871 0.379


8.
Nd2AlZn3 GGA-PBE optimized geometry; energy of formation = -32.7 kJ/mol of atoms; calculated volume = 23.00 Å³ per atom; E_tot = -3.19 eV per atom; space group = Imm2; Fermi-level density of states = 0.974 states/eV/atom; distance to the lowest polymorph of the same formula = 0.041 eV/atom
1.0
3.858 0.000 -1.027
-0.320 4.235 -1.204
0.164 0.092 8.375
Nd Al Zn
2 1 3
Direct
0.126 0.126 0.252
0.875 0.375 0.750
0.460 0.960 0.920
0.540 0.540 0.081
0.296 0.796 0.591
0.703 0.703 0.406


Copy entry 7 word for word.
Nd2Al3Zn5 GGA-PBE optimized geometry; energy of formation = -37.7 kJ/mol of atoms; calculated volume = 19.44 Å³ per atom; E_tot = -3.10 eV per atom; space group = Ibam; Fermi-level density of states = 0.371 states/eV/atom; distance to the lowest polymorph of the same formula = 0.000 eV/atom
1.0
-5.731 1.334 -1.333
-5.381 -4.482 4.996
-3.053 5.943 5.419
Zn Al Nd
10 6 4
Direct
0.250 0.500 0.500
0.624 0.737 0.015
0.009 0.241 0.241
0.991 0.759 0.759
0.509 0.241 0.241
0.876 0.985 0.263
0.376 0.263 0.985
0.124 0.015 0.737
0.750 0.500 0.500
0.491 0.759 0.759
0.129 0.241 0.501
0.250 0.000 0.000
0.750 0.000 0.000
0.629 0.501 0.241
0.371 0.499 0.759
0.871 0.759 0.499
0.625 0.129 0.621
0.875 0.379 0.871
0.125 0.621 0.129
0.375 0.871 0.379